Entry 1:
This record from Alexandria describes a geometry-optimized LiPt2S4 structure. The functional is PBE.

## Properties
E_tot, eV/cell: -68.17
Theoretical density, kg/m³: 6538
Energy relative to the elements, uncorrected, meV/atom: -511.1
Symmetry: C2/c, No. 15
Total magnetization, μB per formula unit: 0.000

a = 7.2292 Å, b = 7.2292 Å, c = 7.2241 Å
α = 59.99°, β = 59.99°, γ = 90.01°
Sites, in units of the cell vectors:
S 0.2643 0.2366 0.5266
S 0.2634 0.2357 0.9734
Pt 0.5000 0.0000 0.0000
S 0.2634 0.7905 0.9733
S 0.7357 0.7634 0.4734
Li 0.8748 0.6252 0.7500
S 0.7366 0.7643 0.0266
S 0.7366 0.2095 0.0267
S 0.7095 0.2366 0.5267
S 0.2905 0.7634 0.4733
Pt 0.5000 0.0000 0.5000
Pt 0.5000 0.5000 0.5000
Pt 0.0000 0.0000 0.0000
Li 0.1252 0.3748 0.2500

Entry 2:
This record from Alexandria describes a geometry-optimized LiPt2S2 structure. The functional is PBE.

## Properties
E_tot, eV/cell: -23.87
Theoretical density, kg/m³: 8462
Energy relative to the elements, uncorrected, meV/atom: -324.3
Symmetry: I4/mmm, No. 139
Total magnetization, μB per formula unit: 0.000

a = 4.6675 Å, b = 4.6675 Å, c = 5.3059 Å
α = 63.91°, β = 63.91°, γ = 90.00°
Sites, in units of the cell vectors:
Pt 0.6752 0.6752 0.6496
S 0.2500 0.7500 0.5000
S 0.7500 0.2500 0.5000
Li 0.0000 0.0000 0.0000
Pt 0.3248 0.3248 0.3504

Entry 3:
This record from Alexandria describes a geometry-optimized LiPtS5 structure. The functional is PBE.

## Properties
E_tot, eV/cell: -60.18
Theoretical density, kg/m³: 4345
Energy relative to the elements, uncorrected, meV/atom: -213.9
Symmetry: C2/c, No. 15
Total magnetization, μB per formula unit: 0.000

a = 5.0511 Å, b = 5.0511 Å, c = 12.0715 Å
α = 106.53°, β = 106.53°, γ = 96.23°
Sites, in units of the cell vectors:
S 0.3619 0.1268 0.2181
S 0.2124 0.4869 0.0328
S 0.1268 0.3619 0.7181
Pt 0.3440 0.6560 0.2500
S 0.7975 0.2025 0.2500
S 0.6381 0.8732 0.7819
S 0.2025 0.7975 0.7500
Pt 0.6560 0.3440 0.7500
S 0.8732 0.6381 0.2819
S 0.7876 0.5131 0.9672
S 0.5131 0.7876 0.4672
S 0.4869 0.2124 0.5328
Li 0.0000 0.0000 0.5000
Li 0.0000 0.0000 0.0000

Entry 4:
This record from Alexandria describes a geometry-optimized LiPt2S structure. The functional is PBE.

## Properties
E_tot, eV/cell: -38.19
Theoretical density, kg/m³: 7178
Energy relative to the elements, uncorrected, meV/atom: -243.5
Symmetry: I-42d, No. 122
Total magnetization, μB per formula unit: 0.000
E above lowest polymorph, meV per atom: 0.0

a = 5.1956 Å, b = 5.1956 Å, c = 8.2223 Å
α = 71.58°, β = 71.58°, γ = 90.00°
Sites, in units of the cell vectors:
Pt 0.8410 0.1250 0.2500
S 0.0000 0.0000 0.0000
Pt 0.3750 0.1590 0.7500
S 0.7500 0.2500 0.5000
Li 0.2500 0.7500 0.5000
Li 0.5000 0.5000 0.0000
Pt 0.9090 0.6250 0.2500
Pt 0.8750 0.0910 0.7500

Entry 5:
This record from Alexandria describes a geometry-optimized Li2SbPtS structure. The functional is PBE.

## Properties
E_tot, eV/cell: -18.50
Theoretical density, kg/m³: 5524
Energy relative to the elements, uncorrected, meV/atom: -75.6
Symmetry: P4/mmm, No. 123
Total magnetization, μB per formula unit: 0.000

a = 4.9721 Å, b = 4.4114 Å, c = 4.9721 Å
α = 90.00°, β = 90.00°, γ = 90.00°
Sites, in units of the cell vectors:
Li 0.0000 0.0000 0.5000
Sb 0.5000 0.5000 0.5000
S 0.0000 0.5000 0.0000
Pt 0.0000 0.0000 0.0000
Li 0.5000 0.0000 0.0000

Entry 6:
This record from Alexandria describes a geometry-optimized Li2PtSeS structure. The functional is PBE.

## Properties
E_tot, eV/cell: -19.99
Theoretical density, kg/m³: 5953
Energy relative to the elements, uncorrected, meV/atom: -501.4
Symmetry: P4/mmm, No. 123
Total magnetization, μB per formula unit: 0.000

a = 4.3460 Å, b = 4.7261 Å, c = 4.3460 Å
α = 90.00°, β = 90.00°, γ = 90.00°
Sites, in units of the cell vectors:
Li 0.0000 0.0000 0.5000
Li 0.5000 0.0000 0.0000
S 0.0000 0.0000 0.0000
Se 0.5000 0.5000 0.5000
Pt 0.0000 0.5000 0.0000